A plane-wave DFT calculation with PBE was carried out for a geometry-optimized Cs3NpPb2S6 structure.

Lattice parameters (Å, degrees): 7.432 7.432 8.297 98.53 98.53 119.83
Site moments in Bohr magnetons follow the coordinates.
Atoms (fractional coordinates):
Cs: 0.500 0.500 0.500  0.00
S: 0.641 0.939 0.816  -0.08
Np: 0.000 0.000 0.000  2.66
Pb: 0.666 0.334 0.000  -0.01
S: 0.767 0.767 0.189  -0.08
S: 0.061 0.359 0.184  -0.08
S: 0.233 0.233 0.811  -0.08
Cs: 0.824 0.176 0.500  0.00
S: 0.939 0.641 0.816  -0.08
Cs: 0.176 0.824 0.500  0.00
S: 0.359 0.061 0.184  -0.08
Pb: 0.334 0.666 0.000  -0.01

Calculated values
DFT total energy (eV per cell): -60.0
Space group: C2/m
N(E_F) (states/eV per atom): 0.61
Crystal system: monoclinic